The following is a DFT calculation (PBE) of a relaxed structure of Ca2ReHg.

Values from the calculation:
raw total energy: -3.664 eV/atom
formation energy: 525 meV/atom
DOS at the Fermi energy: 3.94 states/eV/f.u.

Lattice parameters (Å, degrees): 3.604 3.604 8.134 90.00 90.00 90.00
Fractional positions:
1 Ca 0.000 0.000 0.000
2 Ca 0.500 0.500 0.393
3 Re 0.500 0.500 0.768
4 Hg 0.000 0.000 0.624